Density functional theory data (PBE-GGA) for a relaxed structure of VNi3Ir.

* D(E_F): 6.743 states/eV/f.u.
* formation enthalpy at 0 K: 349 kJ/mol of formula units

Structure (extended XYZ):
```
5
Lattice="4.429 1.239 -0.672 1.456 4.570 -2.305 -0.681 -0.516 4.689" Properties=species:S:1:pos:R:3 pbc="T T T"
V 0.000 0.000 0.000
Ni -0.341 -0.258 2.344
Ni 0.387 2.027 1.192
Ni 0.728 2.285 -1.153
Ir 2.215 0.620 -0.336
```


Density functional theory data (PBE-GGA) for a relaxed structure of V2Ni6Ir.

* D(E_F): 11.630 states/eV/f.u.
* formation enthalpy at 0 K: -199 kJ/mol of formula units

Structure (extended XYZ):
```
9
Lattice="-2.195 -0.042 2.826 2.072 -0.814 3.862 1.107 6.754 3.225" Properties=species:S:1:pos:R:3 pbc="T T T"
V 1.356 4.437 5.649
V -0.371 1.462 4.264
Ni 1.083 5.780 7.723
Ni -0.099 0.118 2.191
Ni -0.278 0.386 6.587
Ni 1.660 1.834 5.847
Ni 1.262 5.513 3.327
Ni -0.676 4.065 4.066
Ir 1.590 2.970 3.544
```


Q: Which uncorrected energy values were calculated for the entries above? A: -6.34, -7.09, in eV/atom.